Entry from Alexandria via LeMat-Bulk: KNaFe2Br8 after structural relaxation (PBE).

Calculated values
Space-group type   P-3 (147)
Spin magnetization   10.00 μB/f.u.
Energy   -3.61 eV/atom

Lattice parameters (Å, degrees): 6.941 6.941 10.184 90.00 90.00 120.00
Sites, in units of the cell vectors:
K1 0.000 0.000 0.000
Na1 0.000 0.000 0.500
Fe1 0.333 0.667 0.760
Fe2 0.667 0.333 0.240
Br1 0.013 0.338 0.690
Br2 0.325 0.987 0.690
Br3 0.333 0.667 0.991
Br4 0.338 0.325 0.310
Br5 0.662 0.675 0.690
Br6 0.667 0.333 0.009
Br7 0.675 0.013 0.310
Br8 0.987 0.662 0.310